## Ba2CuBiO6 (PBE)

Data for Ba2CuBiO6 after structural relaxation.

Summary:
Total energy, eV per atom: -5.706
Formation energy (no corrections), eV per atom: -1.55
Fermi-level density of states, states/eV/atom: 0.0966

Geometry as POSCAR:
```
Ba2CuBiO6
1.0
5.654 -2.824 0.000
5.654 2.824 0.000
-2.712 0.000 4.948
Ba Cu Bi O
2 1 1 6
direct
0.248 0.248 0.226 Ba
0.752 0.752 0.774 Ba
0.500 0.500 0.000 Cu
0.000 0.000 0.500 Bi
0.209 0.209 0.660 O
0.222 0.687 0.182 O
0.313 0.778 0.818 O
0.687 0.222 0.182 O
0.778 0.313 0.818 O
0.791 0.791 0.340 O
```